1.
Here is a relaxed structure of Hf2SbRh2 from the Alexandria database. Energies are from PBE.

The structure in extended XYZ format:
```
10
Lattice="-1.891 -3.467 6.823 0.410 -7.064 -3.475 3.043 -0.191 0.746" Properties=species:S:1:pos:R:3 pbc="T T T"
Sb 0.000 0.000 0.000
Sb -0.741 -5.265 1.674
Hf -0.309 -7.181 -0.578
Hf -1.333 -7.550 3.505
Hf -1.173 -3.349 3.925
Hf -0.148 -2.980 -0.158
Rh 1.529 -5.032 -0.918
Rh 0.679 -8.413 1.683
Rh 0.033 -5.689 5.012
Rh 0.883 -2.309 2.411
```

Properties
The calculation puts the total magnetization at 0.00 μB per cell. The raw formation energy is -0.52 eV/atom. The space-group type is P4/mbm, No. 127. The distance to the lowest polymorph of the same formula comes out at 235 meV per atom. Its energy is -8.266 eV/atom.

***

2.
Here is a relaxed structure of HfSbRh6 from the Alexandria database. Energies are from PBE.

The structure in extended XYZ format:
```
8
Lattice="3.946 0.000 0.000 0.000 5.598 -0.035 0.000 0.036 5.598" Properties=species:S:1:pos:R:3 pbc="T T T"
Hf 1.973 0.000 0.000
Sb 1.973 2.817 2.781
Rh 0.000 4.213 1.368
Rh 0.000 1.421 4.195
Rh 0.000 4.231 4.178
Rh 0.000 1.403 1.385
Rh 1.973 2.799 -0.018
Rh 1.973 0.018 2.799
```

Properties
The calculation puts the total magnetization at 0.00 μB per cell. The raw formation energy is -0.51 eV/atom. The space-group type is P4/mmm, No. 123. Its energy is -7.784 eV/atom.

***

3.
Here is a relaxed structure of HfSb3Rh from the Alexandria database. Energies are from PBE.

The structure in extended XYZ format:
```
5
Lattice="5.410 0.000 0.000 0.000 5.410 0.000 0.000 0.000 5.410" Properties=species:S:1:pos:R:3 pbc="T T T"
Sb 0.000 2.705 0.000
Sb 0.000 0.000 2.705
Sb 2.705 0.000 0.000
Hf 0.000 0.000 0.000
Rh 2.705 2.705 2.705
```

Properties
The calculation puts the total magnetization at 0.00 μB per cell. The raw formation energy is 0.84 eV/atom. The space-group type is Pm-3m, No. 221. The distance to the lowest polymorph of the same formula comes out at 349 meV per atom. Its energy is -5.096 eV/atom.

***

4.
Here is a relaxed structure of HfSb3Rh from the Alexandria database. Energies are from PBE.

The structure in extended XYZ format:
```
5
Lattice="5.102 0.000 0.000 0.000 5.102 0.000 0.000 0.000 5.102" Properties=species:S:1:pos:R:3 pbc="T T T"
Sb 0.000 2.551 0.000
Sb 0.000 0.000 2.551
Sb 2.551 0.000 0.000
Hf 2.551 2.551 2.551
Rh 0.000 0.000 0.000
```

Properties
The calculation puts the total magnetization at 0.00 μB per cell. The raw formation energy is 0.49 eV/atom. The space-group type is Pm-3m, No. 221. The distance to the lowest polymorph of the same formula comes out at 0 meV per atom. Its energy is -5.445 eV/atom.

***

5.
Here is a relaxed structure of HfSiSb2Rh from the Alexandria database. Energies are from PBE.

The structure in extended XYZ format:
```
5
Lattice="-1.040 -4.505 2.797 4.251 -2.007 -1.652 2.620 2.041 4.262" Properties=species:S:1:pos:R:3 pbc="T T T"
Sb 1.310 1.021 2.131
Sb -0.520 -2.253 1.399
Si 2.126 -1.004 -0.826
Hf 0.000 0.000 0.000
Rh 2.916 -2.235 2.704
```

Properties
The calculation puts the total magnetization at 0.81 μB per cell. The raw formation energy is 0.97 eV/atom. The space-group type is P4/mmm, No. 123. Its energy is -5.229 eV/atom.

***

6.
Here is a relaxed structure of SrHf2SbRh from the Alexandria database. Energies are from PBE.

The structure in extended XYZ format:
```
5
Lattice="-1.390 -2.148 -4.571 -2.435 -4.482 2.847 -4.554 2.583 0.171" Properties=species:S:1:pos:R:3 pbc="T T T"
Sb 0.000 0.000 0.000
Hf -2.277 1.292 0.085
Hf -0.695 -1.074 -2.286
Rh -4.190 -2.024 -0.777
Sr -1.218 -2.241 1.423
```

Properties
The calculation puts the total magnetization at 0.00 μB per cell. The raw formation energy is 1.06 eV/atom. The space-group type is P4/mmm, No. 123. Its energy is -5.555 eV/atom.

***

7.
Here is a relaxed structure of HfTlSbRh2 from the Alexandria database. Energies are from PBE.

The structure in extended XYZ format:
```
5
Lattice="4.793 0.000 0.000 0.000 5.412 0.000 0.000 0.000 4.793" Properties=species:S:1:pos:R:3 pbc="T T T"
Sb 0.000 0.000 0.000
Tl 0.000 2.706 0.000
Hf 2.396 2.706 2.396
Rh 0.000 0.000 2.396
Rh 2.396 0.000 0.000
```

Properties
The calculation puts the total magnetization at 0.00 μB per cell. The raw formation energy is 0.92 eV/atom. The space-group type is P4/mmm, No. 123. Its energy is -5.306 eV/atom.

***

8.
Here is a relaxed structure of HfZn2SbRh from the Alexandria database. Energies are from PBE.

The structure in extended XYZ format:
```
5
Lattice="5.081 0.000 0.000 0.000 5.081 0.000 0.000 0.000 5.371" Properties=species:S:1:pos:R:3 pbc="T T T"
Sb 0.000 0.000 2.686
Zn 0.000 2.541 0.000
Zn 2.541 0.000 0.000
Hf 0.000 0.000 0.000
Rh 2.541 2.541 2.686
```

Properties
The calculation puts the total magnetization at 1.20 μB per cell. The raw formation energy is 1.15 eV/atom. The space-group type is P4/mmm, No. 123. Its energy is -3.643 eV/atom.

***

> Among the records above, which one has the lowest energy?

Hf2SbRh2